Compound: Sr2FeCuO4
Source: Alexandria
Functional: GGA+U
Structure: relaxed

## Properties
energy = -47.1 eV per cell
calculated volume = 14.81 Å³/atom
spin magnetization = 0.63 μB per atom

Cell lengths 5.408, 5.408, 5.408 Å; angles 98.52, 115.21, 115.21 degrees
Element x y z (fractional)
Sr: 0.500 0.750 0.250
Sr: 0.000 0.000 0.000
Fe: 0.500 0.250 0.750
Cu: 0.000 0.500 0.500
O: 0.543 0.344 0.434
O: 0.090 0.199 0.656
O: 0.910 0.566 0.109
O: 0.457 0.891 0.801